! TaTi2FeO (GGA+U, relaxed); values from VASP
&SYSTEM
  ibrav = 0, nat = 5, ntyp = 4
/
ATOMIC_SPECIES
Ta 180.95 Ta.upf
Ti 47.87 Ti.upf
Fe 55.84 Fe.upf
O 16.00 O.upf
ATOMIC_POSITIONS crystal
Ta 0.0000 0.0000 0.0000
Ti 0.0000 0.5000 0.5000
Ti 0.5000 0.0000 0.5000
Fe 0.5000 0.5000 0.0000
O 0.0000 0.0000 0.5000
CELL_PARAMETERS angstrom
4.0499 0.0000 0.0000
0.0000 4.0499 0.0000
0.0000 0.0000 4.3845
! Space-group type: No. 123
! VASP energy in eV/atom: -8.357
! Crystal system: tetragonal
! Size of the total moment in μB/cell: 3.1